This record from the Alexandria database describes crystalline Mg2Rh at its relaxed geometry. The functional is PBE.

Geometry as CIF:
```
data_Mg2Rh
_chemical_formula_sum 'Mg2 Rh1'
_cell_length_a 5.5931
_cell_length_b 5.5931
_cell_length_c 5.5931
_cell_angle_alpha 146.85
_cell_angle_beta 146.85
_cell_angle_gamma 47.58
_symmetry_space_group_name_H-M 'P 1'
_symmetry_Int_Tables_number 1
_symmetry_space_group_name_Hall 'P 1'
loop_
_atom_site_label
_atom_site_fract_x
_atom_site_fract_y
_atom_site_fract_z
_atom_site_occupancy
Mg1 0.1430 0.1430 0.0000 1
Mg2 0.8570 0.8570 0.0000 1
Rh1 0.5000 0.5000 0.0000 1
```

This record from the Alexandria database describes crystalline Mg5Rh at its relaxed geometry. The functional is PBE.

Geometry as CIF:
```
data_Mg5Rh
_chemical_formula_sum 'Mg5 Rh1'
_cell_length_a 5.5145
_cell_length_b 5.5145
_cell_length_c 5.5145
_cell_angle_alpha 60.00
_cell_angle_beta 60.00
_cell_angle_gamma 60.00
_symmetry_space_group_name_H-M 'P 1'
_symmetry_Int_Tables_number 1
_symmetry_space_group_name_Hall 'P 1'
loop_
_atom_site_label
_atom_site_fract_x
_atom_site_fract_y
_atom_site_fract_z
_atom_site_occupancy
Mg1 0.2500 0.2500 0.2500 1
Mg2 0.6257 0.6257 0.6257 1
Mg3 0.6257 0.6257 0.1228 1
Mg4 0.1228 0.6257 0.6257 1
Mg5 0.6257 0.1228 0.6257 1
Rh1 0.0000 0.0000 0.0000 1
```

Computed properties:
E above lowest polymorph ... 323.0 meV/atom

This record from the Alexandria database describes crystalline Mg5Rh3 at its relaxed geometry. The functional is PBE.

Geometry as CIF:
```
data_Mg5Rh3
_chemical_formula_sum 'Mg10 Rh6'
_cell_length_a 7.6991
_cell_length_b 7.6992
_cell_length_c 7.7972
_cell_angle_alpha 96.81
_cell_angle_beta 96.81
_cell_angle_gamma 140.83
_symmetry_space_group_name_H-M 'P 1'
_symmetry_Int_Tables_number 1
_symmetry_space_group_name_Hall 'P 1'
loop_
_atom_site_label
_atom_site_fract_x
_atom_site_fract_y
_atom_site_fract_z
_atom_site_occupancy
Mg1 0.2500 0.7504 0.5013 1
Mg2 0.7492 0.2496 0.4987 1
Mg3 0.7808 0.0798 0.8560 1
Mg4 0.2185 0.9201 0.1441 1
Mg5 0.7238 0.5810 0.2988 1
Mg6 0.2753 0.4190 0.7013 1
Mg7 0.5794 0.2811 0.8559 1
Mg8 0.4198 0.7188 0.1440 1
Mg9 0.0806 0.2243 0.2987 1
Mg10 0.9185 0.7758 0.7012 1
Rh1 0.7486 0.7510 0.0000 1
Rh2 0.2507 0.2490 0.0000 1
Rh3 0.3337 0.1658 0.5000 1
Rh4 0.6654 0.8342 0.5000 1
Rh5 0.1766 0.6771 0.8323 1
Rh6 0.8225 0.3229 0.1677 1
```

Computed properties:
E above lowest polymorph ... 82.8 meV/atom

This record from the Alexandria database describes crystalline Mg3Rh2 at its relaxed geometry. The functional is PBE.

Geometry as CIF:
```
data_Mg3Rh2
_chemical_formula_sum 'Mg3 Rh2'
_cell_length_a 4.3079
_cell_length_b 4.5585
_cell_length_c 5.3027
_cell_angle_alpha 69.75
_cell_angle_beta 66.03
_cell_angle_gamma 61.80
_symmetry_space_group_name_H-M 'P 1'
_symmetry_Int_Tables_number 1
_symmetry_space_group_name_Hall 'P 1'
loop_
_atom_site_label
_atom_site_fract_x
_atom_site_fract_y
_atom_site_fract_z
_atom_site_occupancy
Mg1 0.7927 0.2707 0.1440 1
Mg2 0.0000 0.5000 0.5000 1
Mg3 0.2073 0.7293 0.8560 1
Rh1 0.4221 0.8784 0.2774 1
Rh2 0.5779 0.1216 0.7226 1
```

This record from the Alexandria database describes crystalline Mg5Rh at its relaxed geometry. The functional is PBE.

Geometry as CIF:
```
data_Mg5Rh
_chemical_formula_sum 'Mg5 Rh1'
_cell_length_a 5.2956
_cell_length_b 5.2956
_cell_length_c 4.7330
_cell_angle_alpha 90.00
_cell_angle_beta 90.00
_cell_angle_gamma 120.00
_symmetry_space_group_name_H-M 'P 1'
_symmetry_Int_Tables_number 1
_symmetry_space_group_name_Hall 'P 1'
loop_
_atom_site_label
_atom_site_fract_x
_atom_site_fract_y
_atom_site_fract_z
_atom_site_occupancy
Mg1 0.0235 0.0000 0.0000 1
Mg2 0.6432 0.3098 0.0000 1
Mg3 0.3333 0.6902 0.0000 1
Mg4 0.0000 0.3333 0.5000 1
Mg5 0.6667 0.6667 0.5000 1
Rh1 0.3333 0.0000 0.5000 1
```

Computed properties:
E above lowest polymorph ... 48.5 meV/atom

This record from the Alexandria database describes crystalline MgRh6 at its relaxed geometry. The functional is PBE.

Geometry as CIF:
```
data_MgRh6
_chemical_formula_sum 'Mg1 Rh6'
_cell_length_a 5.8420
_cell_length_b 5.8420
_cell_length_c 5.8420
_cell_angle_alpha 109.47
_cell_angle_beta 109.47
_cell_angle_gamma 109.47
_symmetry_space_group_name_H-M 'P 1'
_symmetry_Int_Tables_number 1
_symmetry_space_group_name_Hall 'P 1'
loop_
_atom_site_label
_atom_site_fract_x
_atom_site_fract_y
_atom_site_fract_z
_atom_site_occupancy
Mg1 0.0000 0.0000 0.0000 1
Rh1 0.2500 0.7500 0.5000 1
Rh2 0.5000 0.7500 0.2500 1
Rh3 0.2500 0.5000 0.7500 1
Rh4 0.7500 0.2500 0.5000 1
Rh5 0.5000 0.2500 0.7500 1
Rh6 0.7500 0.5000 0.2500 1
```

Number 1: energy -3.941 eV per atom, M_tot 0.0 μB/f.u., formation energy from the elements -427 meV/atom. Number 2: energy -2.452 eV per atom, M_tot 0.0 μB/f.u., formation energy from the elements 102 meV/atom. Number 3: energy -4.095 eV per atom, M_tot 0.3 μB/f.u., formation energy from the elements -341 meV/atom. Number 4: energy -4.277 eV per atom, M_tot 0.0 μB/f.u., formation energy from the elements -380 meV/atom. Number 5: energy -2.727 eV per atom, M_tot 0.0 μB/f.u., formation energy from the elements -173 meV/atom. Number 6: energy -5.748 eV per atom, M_tot 0.0 μB/f.u., formation energy from the elements 781 meV/atom.